(1)
Density functional theory data (PBE-GGA) for a relaxed CuAg5Cl8 crystal.

Raw formation energy: -0.415 eV/atom
E above lowest polymorph: 8 meV/atom

Lattice parameters (Å, degrees): 11.0131 11.0131 11.0131 90.00 90.00 90.00
Space group F-43m (No. 216)
Unique sites:
1 Cu 0.0000 0.0000 0.0000
2 Ag 0.1272 0.1272 0.6272
3 Ag 0.2500 0.2500 0.2500
4 Cl 0.1177 0.1177 0.3823
5 Cl 0.1218 0.1218 0.8782

---

(2)
Density functional theory data (PBE-GGA) for a relaxed PrDyHo2P4 crystal.

Energy of formation from the pure elements: -12.55 eV per formula unit

Lattice parameters (Å, degrees): 5.7270 5.7270 11.4529 90.00 90.00 90.00
Space group I4/mmm (No. 139)
Unique sites:
1 Pr 0.0000 0.0000 0.0000
2 Dy 0.0000 0.0000 0.5000
3 Ho 0.0000 0.5000 0.2500
4 P 0.0000 0.0000 0.2546
5 P 0.0000 0.5000 0.0000